# 1
{"formula": "AlCu2Sb", "functional": "GGA-PBEsol", "state": "relaxed", "magnetic_moment_mub_per_atom": 0.0001, "raw_formation_energy_ev_per_atom": 0.19, "sg": "Cmmm", "rho_g_cm3": 7.161, "energy_ev_per_atom": -4.14, "lattice_angstrom": [[2.736, -3.720, 0.000], [2.736, 3.720, 0.000], [0.000, 0.000, 3.143]], "species": ["Al", "Cu", "Cu", "Sb"], "frac_coords": [[0.000, 0.000, 0.000], [0.000, 0.500, 0.500], [0.500, 0.000, 0.500], [0.500, 0.500, 0.000]]}

# 2
{"formula": "Sc2AgP", "functional": "GGA-PBEsol", "state": "relaxed", "polymorph_energy_mev_per_atom": 379, "delta_e_f_ev_per_atom": -0.39, "magnetic_moment_mub_per_atom": 0.0001, "sg": "R-3m", "rho_g_cm3": 4.355, "energy_ev_per_atom": -5.96, "lattice_angstrom": [[1.707, 0.985, 8.642], [-1.707, 0.985, 8.642], [0.000, -1.971, 8.642]], "species": ["Sc", "Sc", "Ag", "P"], "frac_coords": [[0.108, 0.108, 0.108], [0.892, 0.892, 0.892], [0.000, 0.000, 0.000], [0.500, 0.500, 0.500]]}

# 3
{"formula": "LaY", "functional": "GGA-PBEsol", "state": "relaxed", "polymorph_energy_mev_per_atom": 45, "delta_e_f_ev_per_atom": 0.05, "magnetic_moment_mub_per_atom": 0.0000, "sg": "P-6m2", "rho_g_cm3": 5.807, "energy_ev_per_atom": -6.04, "lattice_angstrom": [[3.605, 0.000, 0.000], [-1.803, 3.122, 0.000], [0.000, 0.000, 5.787]], "species": ["La", "Y"], "frac_coords": [[0.000, 0.000, 0.000], [0.667, 0.333, 0.500]]}

# 4
{"formula": "AgRu2Pb", "functional": "GGA-PBEsol", "state": "relaxed", "delta_e_f_ev_per_atom": 0.80, "magnetic_moment_mub_per_atom": 0.0002, "sg": "R-3m", "rho_g_cm3": 12.854, "energy_ev_per_atom": -6.11, "lattice_angstrom": [[1.495, 0.863, 8.631], [-1.495, 0.863, 8.631], [0.000, -1.726, 8.631]], "species": ["Ag", "Ru", "Ru", "Pb"], "frac_coords": [[0.000, 0.000, 0.000], [0.249, 0.249, 0.249], [0.751, 0.751, 0.751], [0.500, 0.500, 0.500]]}